1.
Compound: Cs8B3S8
Source: Alexandria
Functional: GGA-PBE
Structure: optimized geometry

Computed properties:
E_tot	-4.065	eV/atom

abc: 6.886 9.704 12.770
angles: 108.73 105.64 90.00
Fractional coordinates of all 19 atoms:
S: 0.511 0.337 0.023
B: 0.500 0.500 0.000
S: 0.824 0.625 0.647
Cs: 0.628 0.956 0.256
S: 0.253 0.164 0.505
Cs: 0.974 0.752 0.947
B: 0.181 0.190 0.363
Cs: 0.325 0.537 0.651
Cs: 0.372 0.044 0.744
S: 0.747 0.836 0.495
Cs: 0.194 0.781 0.387
Cs: 0.026 0.248 0.053
S: 0.885 0.973 0.770
Cs: 0.806 0.219 0.613
S: 0.115 0.027 0.230
Cs: 0.675 0.463 0.349
S: 0.489 0.663 0.977
B: 0.819 0.810 0.637
S: 0.176 0.375 0.353


2.
Compound: Cs4B9S9
Source: Alexandria
Functional: GGA-PBE
Structure: optimized geometry

Computed properties:
E_tot	-5.368	eV/atom

abc: 10.585 10.597 11.181
angles: 92.22 104.13 110.36
Fractional coordinates of all 44 atoms:
B: 0.646 0.823 0.699
Cs: 0.750 0.625 0.472
S: 0.666 0.915 0.054
B: 0.879 0.023 0.878
Cs: 0.805 0.382 0.766
S: 0.081 0.625 0.647
B: 0.839 0.969 0.018
B: 0.870 0.859 0.916
S: 0.334 0.085 0.946
S: 0.538 0.674 0.199
B: 0.937 0.869 0.080
B: 0.008 0.958 0.857
Cs: 0.250 0.375 0.528
S: 0.280 0.280 0.195
B: 0.064 0.740 0.756
B: 0.678 0.773 0.141
Cs: 0.349 0.987 0.625
Cs: 0.195 0.618 0.234
B: 0.121 0.977 0.122
S: 0.720 0.720 0.805
S: 0.917 0.285 0.078
S: 0.159 0.265 0.836
S: 0.841 0.735 0.164
B: 0.956 0.139 0.021
B: 0.992 0.042 0.143
B: 0.354 0.177 0.301
S: 0.919 0.375 0.353
S: 0.083 0.715 0.922
B: 0.322 0.227 0.859
S: 0.977 0.111 0.293
B: 0.161 0.031 0.982
Cs: 0.384 0.627 0.870
Cs: 0.616 0.373 0.130
S: 0.734 0.011 0.737
S: 0.266 0.989 0.263
S: 0.501 0.254 0.432
B: 0.130 0.141 0.084
B: 0.936 0.260 0.244
S: 0.023 0.889 0.707
B: 0.044 0.861 0.979
S: 0.499 0.746 0.568
Cs: 0.651 0.013 0.375
S: 0.462 0.326 0.801
B: 0.063 0.131 0.920


Uncorrected formation energy, record by record: -0.913; -0.793 eV per atom
Density, record by record: 2.90; 2.70 g/cm3